LiH2O2 | Alexandria via LeMat-Bulk | PBE | relaxed; Fermi-level density of states = 0.519 states/eV per atom; spin magnetization = 1.00 μB/cell; space-group type = P4/mmm, No. 123; polymorph energy (0 for the lowest one) = 0 meV/atom
1.0
3.1079 0.0000 0.0000
0.0000 3.1079 0.0000
0.0000 0.0000 7.9346
Li H O
1 2 2
direct
0.0000 0.0000 0.0000 Li
0.0000 0.0000 0.3407 H
0.0000 0.0000 0.6593 H
0.0000 0.0000 0.2188 O
0.0000 0.0000 0.7812 O

***

Li8H2O3 | Alexandria via LeMat-Bulk | PBE | relaxed; Fermi-level density of states = 0.000 states/eV per atom; spin magnetization = 0.00 μB/cell; space-group type = P2/m, No. 10; final energy = -0.1528 Ha/atom
1.0
5.5395 0.0000 0.0000
0.0000 3.1665 0.0000
-0.8727 0.0000 8.1933
Li H O
8 2 3
direct
0.0669 0.0000 0.2745 Li
0.1576 0.5000 0.5974 Li
0.1840 0.5000 0.0680 Li
0.3199 0.0000 0.8673 Li
0.6801 0.0000 0.1327 Li
0.8160 0.5000 0.9320 Li
0.8424 0.5000 0.4026 Li
0.9331 0.0000 0.7255 Li
0.3446 0.0000 0.1356 H
0.6554 0.0000 0.8644 H
0.0000 0.0000 0.5000 O
0.1185 0.5000 0.8292 O
0.8815 0.5000 0.1708 O

***

LiH3O | Alexandria via LeMat-Bulk | PBE | relaxed; Fermi-level density of states = 0.188 states/eV per atom; spin magnetization = 0.00 μB/cell; space-group type = Pm-3m, No. 221; polymorph energy (0 for the lowest one) = 519 meV/atom
1.0
3.2491 0.0000 0.0000
0.0000 3.2491 0.0000
0.0000 0.0000 3.2491
Li H O
1 3 1
direct
0.0000 0.0000 0.0000 Li
0.0000 0.5000 0.5000 H
0.5000 0.0000 0.5000 H
0.5000 0.5000 0.0000 H
0.5000 0.5000 0.5000 O

***

Li4HO | Alexandria via LeMat-Bulk | PBE | relaxed; Fermi-level density of states = 0.189 states/eV per atom; spin magnetization = 0.00 μB/cell; space-group type = C2/m, No. 12; final energy = -0.1290 Ha/atom
1.0
5.4281 0.0000 0.0000
0.0000 3.0226 0.0000
-1.6676 0.0000 8.8521
Li H O
8 2 2
direct
0.1031 0.0000 0.3733 Li
0.1921 0.5000 0.0797 Li
0.3079 0.0000 0.9203 Li
0.3969 0.5000 0.6267 Li
0.6031 0.5000 0.3733 Li
0.6921 0.0000 0.0797 Li
0.8079 0.5000 0.9203 Li
0.8969 0.0000 0.6267 Li
0.0000 0.5000 0.5000 H
0.5000 0.0000 0.5000 H
0.0000 0.0000 0.0000 O
0.5000 0.5000 0.0000 O

***

Li4HO2 | Alexandria via LeMat-Bulk | PBE | relaxed; Fermi-level density of states = 0.109 states/eV per atom; spin magnetization = 2.00 μB/cell; space-group type = I4_1/amd, No. 141; final energy = -0.1542 Ha/atom
1.0
-2.9066 2.9066 4.1034
2.9066 -2.9066 4.1034
2.9066 2.9066 -4.1034
Li H O
8 2 4
direct
0.2606 0.2828 0.5222 Li
0.2606 0.7384 0.9778 Li
0.2616 0.7394 0.5222 Li
0.2828 0.2606 0.0222 Li
0.7172 0.7394 0.9778 Li
0.7384 0.2606 0.4778 Li
0.7394 0.2616 0.0222 Li
0.7394 0.7172 0.4778 Li
0.1250 0.8750 0.2500 H
0.8750 0.1250 0.7500 H
0.0000 0.5000 0.5000 O
0.5000 0.0000 0.0000 O
0.5000 0.5000 0.0000 O
0.5000 0.5000 0.5000 O

***

Li6H4O | Alexandria via LeMat-Bulk | PBE | relaxed; Fermi-level density of states = 0.000 states/eV per atom; spin magnetization = 0.00 μB/cell; space-group type = Cmcm, No. 63; final energy = -0.1275 Ha/atom
1.0
1.4236 -4.6990 0.0000
1.4236 4.6990 0.0000
0.0000 0.0000 13.7466
Li H O
12 8 2
direct
0.0000 0.0000 0.0000 Li
0.0000 0.0000 0.5000 Li
0.2027 0.7973 0.7500 Li
0.2739 0.7261 0.0908 Li
0.2739 0.7261 0.4092 Li
0.4345 0.5655 0.6693 Li
0.4345 0.5655 0.8307 Li
0.5655 0.4345 0.1693 Li
0.5655 0.4345 0.3307 Li
0.7261 0.2739 0.5908 Li
0.7261 0.2739 0.9092 Li
0.7973 0.2027 0.2500 Li
0.0931 0.9069 0.6315 H
0.0931 0.9069 0.8685 H
0.3620 0.6380 0.5422 H
0.3620 0.6380 0.9578 H
0.6380 0.3620 0.0422 H
0.6380 0.3620 0.4578 H
0.9069 0.0931 0.1315 H
0.9069 0.0931 0.3685 H
0.1643 0.8357 0.2500 O
0.8357 0.1643 0.7500 O

***

LiH2O | Alexandria via LeMat-Bulk | PBE | relaxed; Fermi-level density of states = 0.083 states/eV per atom; spin magnetization = 0.00 μB/cell; space-group type = R-3m, No. 166; polymorph energy (0 for the lowest one) = 0 meV/atom
1.0
2.9184 1.6849 2.8759
-2.9184 1.6849 2.8759
0.0000 -3.3699 2.8759
Li H O
3 6 3
direct
0.0000 0.0000 0.0000 Li
0.3058 0.3058 0.3058 Li
0.6942 0.6942 0.6942 Li
0.1916 0.5000 0.8084 H
0.1916 0.8084 0.5000 H
0.5000 0.1916 0.8084 H
0.5000 0.8084 0.1916 H
0.8084 0.1916 0.5000 H
0.8084 0.5000 0.1916 H
0.0000 0.0000 0.5000 O
0.0000 0.5000 0.0000 O
0.5000 0.0000 0.0000 O

***

LiH2O | Alexandria via LeMat-Bulk | PBE | relaxed; Fermi-level density of states = 0.004 states/eV per atom; spin magnetization = 0.00 μB/cell; space-group type = I4_1/amd, No. 141; polymorph energy (0 for the lowest one) = 354 meV/atom
1.0
2.9126 0.0000 0.0000
0.0000 2.9126 0.0000
0.0000 0.0000 11.7780
Li H O
4 8 4
direct
0.0000 0.2500 0.3750 Li
0.0000 0.7500 0.6250 Li
0.5000 0.2500 0.1250 Li
0.5000 0.7500 0.8750 Li
0.0000 0.0000 0.0000 H
0.0000 0.5000 0.0000 H
0.2500 0.2500 0.7500 H
0.2500 0.7500 0.2500 H
0.5000 0.0000 0.5000 H
0.5000 0.5000 0.5000 H
0.7500 0.2500 0.7500 H
0.7500 0.7500 0.2500 H
0.0000 0.2500 0.8750 O
0.0000 0.7500 0.1250 O
0.5000 0.2500 0.6250 O
0.5000 0.7500 0.3750 O